Entry from the Alexandria database: crystalline Ce2PrSmP4 at its relaxed geometry (PBE-GGA).

```
data_Ce2PrSmP4
_chemical_formula_sum 'Ce2 Pr1 Sm1 P4'
_cell_length_a 7.1364
_cell_length_b 4.1201
_cell_length_c 7.1370
_cell_angle_alpha 90.00
_cell_angle_beta 109.47
_cell_angle_gamma 90.00
_symmetry_space_group_name_H-M 'P 1 2/m 1'
_symmetry_Int_Tables_number 10
loop_
_symmetry_equiv_pos_as_xyz
'x,y,z'
'-x,-y,-z'
'-x,y,-z'
'x,-y,z'
loop_
_atom_site_label
_atom_site_type_symbol
_atom_site_fract_x
_atom_site_fract_y
_atom_site_fract_z
_atom_site_occupancy
Ce1 Ce 0.0000 0.0000 0.0000 1
Ce2 Ce 0.0000 0.5000 0.5000 1
Pr1 Pr 0.5000 0.0000 0.5000 1
Sm1 Sm 0.5000 0.5000 0.0000 1
P1 P 0.2417 0.5000 0.2443 1
P2 P 0.2440 0.0000 0.7508 1
```

- ρ: 5.84 g/cm3
- Volume: 198 Å³ per cell
- Total magnetization: 0.12 μB per atom
- E_form: -147 kJ per mole of atoms
- DOS at the Fermi energy: 9.539 states/eV per cell